First-principles (GGA+U) data for an optimized crystal structure of BaTaVO6, as listed in Alexandria via LeMat-Bulk.

The structure belongs to space group P3 (No. 143); the cell edges are 5.2600, 5.2600 and 5.7667 Å and the angles 90.00°, 90.00° and 120.00°. Symmetry generates all atoms from Ba at (0.0000, 0.0000, 0.0000), Ta at (0.6667, 0.3333, 0.4647), V at (0.3333, 0.6667, 0.5328), O at (0.0094, 0.4054, 0.6918) and O at (0.0143, 0.6159, 0.3058).

The value obtained for the magnetic moment is 0.00 μB per atom. The value obtained for the mass density is 5.591 Mg/m³. As for the total energy: -74.245 eV/cell.